[1]
Computed, not measured: a relaxed structure of TmPaO at the PBE level of DFT.

Properties
uncorrected formation energy	-4.41	eV per formula unit
theoretical density	9.90	g/cm3

```
TmPaO
1.0
-5.133 2.730 2.610
0.754 -1.510 3.062
5.649 4.363 -1.234
Tm Pa O
2 2 2
direct
0.732 0.232 0.464
0.268 0.768 0.536
0.288 0.500 0.000
0.712 0.500 0.000
0.099 0.599 0.199
0.901 0.401 0.801
```

=====

[2]
Computed, not measured: a relaxed structure of K3SmIn2O6 at the PBE level of DFT.

Properties
uncorrected formation energy	-22.88	eV per formula unit
theoretical density	5.16	g/cm3

```
K3SmIn2O6
1.0
5.937 -0.002 0.002
-2.969 5.141 0.002
-0.988 -1.711 6.258
K Sm In O
3 1 2 6
direct
0.169 0.831 0.500
0.831 0.169 0.500
0.500 0.500 0.500
0.000 0.000 0.000
0.333 0.667 0.000
0.667 0.333 0.000
0.937 0.591 0.811
0.717 0.717 0.190
0.063 0.409 0.189
0.591 0.937 0.811
0.283 0.283 0.810
0.409 0.063 0.189
```

=====

[3]
Computed, not measured: a relaxed structure of RbGaAu at the PBE level of DFT.

Properties
energy above the lowest structure with this stoichiometry	91.0	meV per atom
formation enthalpy at 0 K	-0.199	eV/atom
theoretical density	6.19	g/cm3

```
RbGaAu
1.0
-2.154 0.933 -6.696
-1.328 -4.081 -1.667
-6.639 2.980 -1.844
Rb Au Ga
2 2 2
direct
0.786 0.655 0.804
0.173 0.453 0.017
0.799 0.144 0.449
0.505 0.787 0.507
0.229 0.929 0.365
0.459 0.311 0.365
```

=====

[4]
Computed, not measured: a relaxed structure of Li2TmNpTe4 at the PBE level of DFT.

Properties
uncorrected formation energy	-8.15	eV per formula unit
theoretical density	6.69	g/cm3

```
Li2TmNpTe4
1.0
-2.195 -3.078 -2.139
3.173 -5.294 4.361
-6.362 2.369 3.121
Li Tm Np Te
2 1 1 4
direct
0.500 0.000 0.500
0.000 0.500 0.500
0.500 0.500 0.000
0.000 0.000 0.000
0.500 0.259 0.256
0.500 0.741 0.744
0.000 0.255 0.745
0.000 0.745 0.255
```

=====

[5]
Computed, not measured: a relaxed structure of CsZn3Cd at the PBE level of DFT.

Properties
formation enthalpy at 0 K	0.218	eV/atom
theoretical density	4.71	g/cm3

```
CsZn3Cd
1.0
5.381 0.000 0.000
0.000 5.381 0.000
0.000 0.000 5.381
Cs Zn Cd
1 3 1
direct
0.500 0.500 0.500
0.000 0.500 0.000
0.000 0.000 0.500
0.500 0.000 0.000
0.000 0.000 0.000
```

=====

[6]
Computed, not measured: a relaxed structure of HfCu2I at the PBE level of DFT.

Properties
uncorrected formation energy	1.56	eV per formula unit
energy above the lowest structure with this stoichiometry	0.0	meV per atom
theoretical density	9.10	g/cm3

```
HfCu2I
1.0
7.507 0.000 0.000
0.000 7.507 0.000
3.754 3.754 2.800
I Hf Cu
2 2 4
direct
0.500 0.500 0.000
0.250 0.750 0.500
0.000 0.000 0.000
0.750 0.250 0.500
0.626 0.125 0.250
0.124 0.625 0.250
0.375 0.374 0.750
0.875 0.876 0.750
```

=====

Number 1: final energy -0.5718 Ry/atom. Number 2: final energy -0.4050 Ry/atom. Number 3: final energy -0.1927 Ry/atom. Number 4: final energy -0.3855 Ry/atom. Number 5: final energy -0.0662 Ry/atom. Number 6: final energy -0.3332 Ry/atom.